ZrTi2Cu (PBE, optimized geometry); polymorph energy (0 for the lowest one) = 0.060 eV/atom; volume = 68.8 Å³/f.u.; SG = No. 123
1.0
4.0698 0.0000 0.0000
0.0000 4.0698 0.0000
0.0000 0.0000 4.1566
Zr Ti Cu
1 2 1
direct
0.0000 0.0000 0.0000 Zr
0.0000 0.5000 0.5000 Ti
0.5000 0.0000 0.5000 Ti
0.5000 0.5000 0.0000 Cu